<1>
Computed, not measured: a relaxed structure of CdSiNO at the PBE-GGA level of DFT.

Cell: 4.0372 4.0372 6.5230 Å, 90.00 90.00 90.00°
Atoms (fractional coordinates):
Cd  0.2500  0.7500  0.0000
Cd  0.7500  0.2500  0.0000
Si  0.2500  0.2500  0.4262
Si  0.7500  0.7500  0.5738
N  0.2500  0.2500  0.1640
N  0.7500  0.7500  0.8360
O  0.2500  0.7500  0.5000
O  0.7500  0.2500  0.5000

***

<2>
Computed, not measured: a relaxed structure of CdSiNO at the PBE-GGA level of DFT.

Cell: 2.9212 7.1630 5.0263 Å, 90.00 90.00 90.00°
Atoms (fractional coordinates):
Cd  0.0000  0.1059  0.0000
Cd  0.0000  0.8941  0.5000
Si  0.5000  0.3683  0.4779
Si  0.5000  0.6317  0.9779
N  0.0000  0.2468  0.4232
N  0.0000  0.7532  0.9232
O  0.5000  0.4393  0.7930
O  0.5000  0.5607  0.2930

***

<3>
Computed, not measured: a relaxed structure of CdSiNO at the PBE-GGA level of DFT.

Cell: 5.1876 8.3119 4.7445 Å, 90.00 90.00 90.00°
Atoms (fractional coordinates):
Cd  0.0422  0.1138  0.0000
Cd  0.4578  0.1138  0.5000
Cd  0.5422  0.8862  0.0000
Cd  0.9578  0.8862  0.5000
Si  0.0792  0.5898  0.9752
Si  0.4208  0.5898  0.4752
Si  0.5792  0.4102  0.9752
Si  0.9208  0.4102  0.4752
N  0.1111  0.5658  0.6117
N  0.3889  0.5658  0.1117
N  0.6111  0.4342  0.6117
N  0.8889  0.4342  0.1117
O  0.0378  0.2358  0.5497
O  0.4622  0.2358  0.0497
O  0.5378  0.7642  0.5497
O  0.9622  0.7642  0.0497

***

Least stable: <1>

***

<1>
Computed, not measured: a relaxed structure of CdSiNO at the PBE-GGA level of DFT.

Cell: 5.1039 7.1790 5.5689 Å, 90.00 90.00 90.00°
Atoms (fractional coordinates):
Cd  0.0149  0.1399  0.0000
Cd  0.4851  0.1399  0.5000
Cd  0.5149  0.8601  0.0000
Cd  0.9851  0.8601  0.5000
Si  0.0127  0.6457  0.8941
Si  0.4873  0.6457  0.3941
Si  0.5127  0.3543  0.8941
Si  0.9873  0.3543  0.3941
N  0.0034  0.1737  0.5882
N  0.4966  0.1737  0.0882
N  0.5034  0.8263  0.5882
N  0.9966  0.8263  0.0882
O  0.2259  0.5097  0.3998
O  0.2741  0.5097  0.8998
O  0.7259  0.4903  0.3998
O  0.7741  0.4903  0.8998

***

<2>
Computed, not measured: a relaxed structure of CdSiNO at the PBE-GGA level of DFT.

Cell: 4.0550 4.0550 6.3283 Å, 90.00 90.00 90.00°
Atoms (fractional coordinates):
Cd  0.2500  0.2500  0.1269
Cd  0.7500  0.7500  0.8731
Si  0.2500  0.7500  0.5000
Si  0.7500  0.2500  0.5000
N  0.2500  0.2500  0.5063
N  0.7500  0.7500  0.4937
O  0.2500  0.7500  0.0000
O  0.7500  0.2500  0.0000

***

<3>
Computed, not measured: a relaxed structure of CdSiNO at the PBE-GGA level of DFT.

Cell: 2.8998 7.0228 5.0738 Å, 90.00 90.00 90.00°
Atoms (fractional coordinates):
Cd  0.0000  0.1381  0.0000
Cd  0.0000  0.8619  0.5000
Si  0.5000  0.3967  0.5419
Si  0.5000  0.6033  0.0419
N  0.5000  0.3944  0.8762
N  0.5000  0.6056  0.3762
O  0.0000  0.2802  0.4499
O  0.0000  0.7198  0.9499

***

Least stable: <2>

***

<1>
Computed, not measured: a relaxed structure of SmCdNO at the PBE-GGA level of DFT.

Cell: 4.9964 4.9964 4.6977 Å, 90.00 90.00 90.00°
Atoms (fractional coordinates):
Sm  0.2500  0.7500  0.0000
Sm  0.7500  0.2500  0.0000
Cd  0.2500  0.2500  0.4966
Cd  0.7500  0.7500  0.5034
N  0.2500  0.2500  0.9968
N  0.7500  0.7500  0.0032
O  0.2500  0.7500  0.5000
O  0.7500  0.2500  0.5000

***

<2>
Computed, not measured: a relaxed structure of SmCdNO at the PBE-GGA level of DFT.

Cell: 3.9035 3.9035 8.1755 Å, 90.00 90.00 90.00°
Atoms (fractional coordinates):
Sm  0.2500  0.2500  0.1439
Sm  0.7500  0.7500  0.8561
Cd  0.2500  0.7500  0.5000
Cd  0.7500  0.2500  0.5000
N  0.2500  0.2500  0.6733
N  0.7500  0.7500  0.3267
O  0.2500  0.7500  0.0000
O  0.7500  0.2500  0.0000

***

Least stable: <2>

***

<1>
Computed, not measured: a relaxed structure of TbCdNO at the PBE-GGA level of DFT.

Cell: 3.8635 3.8635 8.0530 Å, 90.00 90.00 90.00°
Atoms (fractional coordinates):
Tb  0.2500  0.2500  0.1392
Tb  0.7500  0.7500  0.8608
Cd  0.2500  0.7500  0.5000
Cd  0.7500  0.2500  0.5000
N  0.2500  0.2500  0.6786
N  0.7500  0.7500  0.3214
O  0.2500  0.7500  0.0000
O  0.7500  0.2500  0.0000

***

<2>
Computed, not measured: a relaxed structure of TbCdNO at the PBE-GGA level of DFT.

Cell: 3.9026 6.2419 5.4974 Å, 90.00 90.00 90.00°
Atoms (fractional coordinates):
Tb  0.0000  0.1897  0.0000
Tb  0.0000  0.8103  0.5000
Cd  0.5000  0.3025  0.4925
Cd  0.5000  0.6975  0.9925
N  0.0000  0.1595  0.4140
N  0.0000  0.8405  0.9140
O  0.5000  0.3363  0.9186
O  0.5000  0.6637  0.4186

***

Least stable: <1>

***

<1>
Computed, not measured: a relaxed structure of CdTcNO at the PBE-GGA level of DFT.

Cell: 3.8861 3.8861 7.1948 Å, 90.00 90.00 90.00°
Atoms (fractional coordinates):
Cd  0.2500  0.2500  0.1418
Cd  0.7500  0.7500  0.8582
Tc  0.2500  0.7500  0.5000
Tc  0.7500  0.2500  0.5000
N  0.2500  0.2500  0.5948
N  0.7500  0.7500  0.4052
O  0.2500  0.7500  0.0000
O  0.7500  0.2500  0.0000

***

<2>
Computed, not measured: a relaxed structure of CdTcNO at the PBE-GGA level of DFT.

Cell: 3.0782 7.1591 5.1394 Å, 90.00 90.00 90.00°
Atoms (fractional coordinates):
Cd  0.0000  0.0939  0.0000
Cd  0.0000  0.9061  0.5000
Tc  0.5000  0.4533  0.4757
Tc  0.5000  0.5467  0.9757
N  0.0000  0.3661  0.2897
N  0.0000  0.6339  0.7897
O  0.5000  0.2969  0.7917
O  0.5000  0.7031  0.2917

***

<3>
Computed, not measured: a relaxed structure of CdTcNO at the PBE-GGA level of DFT.

Cell: 2.9400 5.7499 6.7375 Å, 90.00 90.00 90.00°
Atoms (fractional coordinates):
Cd  0.0000  0.1764  0.0000
Cd  0.0000  0.8236  0.5000
Tc  0.5000  0.4007  0.5502
Tc  0.5000  0.5993  0.0502
N  0.5000  0.4059  0.2868
N  0.5000  0.5941  0.7868
O  0.0000  0.1726  0.6400
O  0.0000  0.8274  0.1400

***

<4>
Computed, not measured: a relaxed structure of CdTcNO at the PBE-GGA level of DFT.

Cell: 4.0322 4.0322 8.2210 Å, 90.00 90.00 90.00°
Atoms (fractional coordinates):
Cd  0.2500  0.7500  0.0000
Cd  0.7500  0.2500  0.0000
Tc  0.2500  0.2500  0.4199
Tc  0.7500  0.7500  0.5801
N  0.2500  0.2500  0.2153
N  0.7500  0.7500  0.7847
O  0.2500  0.7500  0.5000
O  0.7500  0.2500  0.5000

***

Least stable: <1>

***

<1>
Computed, not measured: a relaxed structure of CdTcNO at the PBE-GGA level of DFT.

Cell: 5.1739 7.6558 5.2463 Å, 90.00 90.00 90.00°
Atoms (fractional coordinates):
Cd  0.0943  0.1137  0.0000
Cd  0.4057  0.1137  0.5000
Cd  0.5943  0.8863  0.0000
Cd  0.9057  0.8863  0.5000
Tc  0.1206  0.5674  0.0144
Tc  0.3794  0.5674  0.5144
Tc  0.6206  0.4326  0.0144
Tc  0.8794  0.4326  0.5144
N  0.0262  0.6360  0.6690
N  0.4738  0.6360  0.1690
N  0.5262  0.3640  0.6690
N  0.9738  0.3640  0.1690
O  0.0249  0.8310  0.0979
O  0.4751  0.8310  0.5979
O  0.5249  0.1690  0.0979
O  0.9751  0.1690  0.5979

***

<2>
Computed, not measured: a relaxed structure of CdTcNO at the PBE-GGA level of DFT.

Cell: 5.5231 7.9760 4.9595 Å, 90.00 90.00 90.00°
Atoms (fractional coordinates):
Cd  0.0140  0.1446  0.0000
Cd  0.4860  0.1446  0.5000
Cd  0.5140  0.8554  0.0000
Cd  0.9860  0.8554  0.5000
Tc  0.1035  0.6584  0.0255
Tc  0.3965  0.6584  0.5255
Tc  0.6035  0.3416  0.0255
Tc  0.8965  0.3416  0.5255
N  0.0616  0.1502  0.4935
N  0.4384  0.1502  0.9935
N  0.5616  0.8498  0.4935
N  0.9384  0.8498  0.9935
O  0.1048  0.5149  0.6932
O  0.3952  0.5149  0.1931
O  0.6048  0.4851  0.6932
O  0.8952  0.4851  0.1931

***

Least stable: <2>

***

<1>
Computed, not measured: a relaxed structure of TlCdNO at the PBE-GGA level of DFT.

Cell: 6.2805 7.5032 5.8750 Å, 90.00 90.00 90.00°
Atoms (fractional coordinates):
Tl  0.0697  0.1460  0.0000
Tl  0.4303  0.1460  0.5000
Tl  0.5697  0.8540  0.0000
Tl  0.9303  0.8540  0.5000
Cd  0.0876  0.6158  0.0094
Cd  0.4124  0.6158  0.5094
Cd  0.5876  0.3842  0.0094
Cd  0.9124  0.3842  0.5094
N  0.0809  0.6247  0.6341
N  0.4191  0.6247  0.1341
N  0.5809  0.3753  0.6341
N  0.9191  0.3753  0.1341
O  0.0844  0.1131  0.6133
O  0.4156  0.1131  0.1133
O  0.5844  0.8869  0.6133
O  0.9156  0.8869  0.1133

***

<2>
Computed, not measured: a relaxed structure of TlCdNO at the PBE-GGA level of DFT.

Cell: 3.7092 6.2948 5.8803 Å, 90.00 90.00 90.00°
Atoms (fractional coordinates):
Tl  0.0000  0.1786  0.0000
Tl  0.0000  0.8214  0.5000
Cd  0.5000  0.3388  0.5087
Cd  0.5000  0.6612  0.0087
N  0.5000  0.3253  0.8885
N  0.5000  0.6747  0.3885
O  0.0000  0.1670  0.3893
O  0.0000  0.8330  0.8893

***

Least stable: <1>

***

<1>
Computed, not measured: a relaxed structure of TlCdNO at the PBE-GGA level of DFT.

Cell: 4.7681 4.7681 4.9507 Å, 90.00 90.00 90.00°
Atoms (fractional coordinates):
Tl  0.2500  0.7500  0.0000
Tl  0.7500  0.2500  0.0000
Cd  0.2500  0.2500  0.4987
Cd  0.7500  0.7500  0.5013
N  0.2500  0.2500  0.0003
N  0.7500  0.7500  0.9997
O  0.2500  0.7500  0.5000
O  0.7500  0.2500  0.5000

***

<2>
Computed, not measured: a relaxed structure of TlCdNO at the PBE-GGA level of DFT.

Cell: 4.3546 4.3546 7.5243 Å, 90.00 90.00 90.00°
Atoms (fractional coordinates):
Tl  0.2500  0.2500  0.1165
Tl  0.7500  0.7500  0.8835
Cd  0.2500  0.7500  0.5000
Cd  0.7500  0.2500  0.5000
N  0.2500  0.2500  0.4025
N  0.7500  0.7500  0.5975
O  0.2500  0.7500  0.0000
O  0.7500  0.2500  0.0000

***

Least stable: <2>

***

<1>
Computed, not measured: a relaxed structure of TlCdNO at the PBE-GGA level of DFT.

Cell: 3.6844 6.2945 5.9276 Å, 90.00 90.00 90.00°
Atoms (fractional coordinates):
Tl  0.0000  0.1500  0.0000
Tl  0.0000  0.8500  0.5000
Cd  0.5000  0.3333  0.4876
Cd  0.5000  0.6667  0.9876
N  0.0000  0.1767  0.3675
N  0.0000  0.8233  0.8675
O  0.5000  0.3280  0.8704
O  0.5000  0.6720  0.3704

***

<2>
Computed, not measured: a relaxed structure of TlCdNO at the PBE-GGA level of DFT.

Cell: 6.3227 7.3707 5.8676 Å, 90.00 90.00 90.00°
Atoms (fractional coordinates):
Tl  0.0884  0.1183  0.0000
Tl  0.4116  0.1183  0.5000
Tl  0.5884  0.8817  0.0000
Tl  0.9116  0.8817  0.5000
Cd  0.0865  0.6256  0.9952
Cd  0.4135  0.6256  0.4952
Cd  0.5865  0.3744  0.9952
Cd  0.9135  0.3744  0.4952
N  0.0795  0.1298  0.6216
N  0.4205  0.1298  0.1216
N  0.5795  0.8702  0.6216
N  0.9205  0.8702  0.1216
O  0.0775  0.6246  0.6114
O  0.4225  0.6246  0.1114
O  0.5775  0.3754  0.6114
O  0.9225  0.3754  0.1114

***

Least stable: <1>